# CoSbRh2O6 (GGA+U, optimized geometry)
data_CoSbRh2O6
_chemical_formula_sum 'Co3 Sb3 Rh6 O18'
_cell_length_a 5.3415
_cell_length_b 5.3415
_cell_length_c 14.0920
_cell_angle_alpha 90.00
_cell_angle_beta 90.00
_cell_angle_gamma 120.00
_symmetry_space_group_name_H-M 'R 3'
_symmetry_Int_Tables_number 146
_symmetry_space_group_name_Hall 'R 3'
loop_
_atom_site_label
_atom_site_type_symbol
_atom_site_fract_x
_atom_site_fract_y
_atom_site_fract_z
Co1 Co 0.0000 0.0000 0.0000
Sb1 Sb 0.0000 0.0000 0.4967
Rh1 Rh 0.0000 0.0000 0.2937
Rh2 Rh 0.0000 0.0000 0.7947
O1 O 0.0045 0.7056 0.3925
O2 O 0.0101 0.3054 0.8901
# - spin magnetization (μB per formula unit) = 2.80
# - final energy (eV for the cell shown) = -187.78
# - crystal system = trigonal